Entry 1:
{"formula": "Pu3Ga2Ru", "functional": "PBE", "state": "optimized geometry", "cell": [[-2.6737, 2.8547, 4.8362], [0.5163, -5.1411, 3.3201], [6.9717, 3.0950, -1.9723]], "species": ["Ru", "Ru", "Pu", "Pu", "Pu", "Pu", "Pu", "Pu", "Ga", "Ga", "Ga", "Ga"], "frac_coords": [[0.0000, 0.2500, 0.0000], [0.0000, 0.7500, 0.0000], [0.5000, 0.2500, 0.0000], [0.4161, 0.6383, 0.2766], [0.5000, 0.7500, 0.0000], [0.5839, 0.3617, 0.7234], [0.1395, 0.8617, 0.7234], [0.8605, 0.1383, 0.2766], [0.3401, 0.1314, 0.2628], [0.9227, 0.6314, 0.2628], [0.0773, 0.3686, 0.7372], [0.6599, 0.8686, 0.7372]]}

Entry 2:
{"formula": "Pu4GaRu3", "functional": "PBE", "state": "optimized geometry", "cell": [[5.2462, 0.0000, 0.0000], [0.0000, 5.2462, 0.0000], [0.0000, 0.0000, 5.8850]], "species": ["Pu", "Pu", "Pu", "Pu", "Ru", "Ru", "Ru", "Ga"], "frac_coords": [[0.0000, 0.5000, 0.7528], [0.5000, 0.0000, 0.7528], [0.0000, 0.5000, 0.2472], [0.5000, 0.0000, 0.2472], [0.5000, 0.5000, 0.2467], [0.0000, 0.0000, 0.0000], [0.5000, 0.5000, 0.7533], [0.0000, 0.0000, 0.5000]]}

Entry 3:
{"formula": "PuGa2Ru", "functional": "PBE", "state": "optimized geometry", "cell": [[-2.7186, -0.6250, -1.0464], [-0.4590, -2.4986, -1.5565], [-3.0082, -5.4941, 6.8555]], "species": ["Ga", "Ga", "Ru", "Pu"], "frac_coords": [[0.2629, 0.2629, 0.2112], [0.7371, 0.7371, 0.7888], [0.0000, 0.0000, 0.0000], [0.5000, 0.5000, 0.5000]]}

no.,formation enthalpy at 0 K (eV/atom),total moment (μB per formula unit)
1,-0.09,5.5
2,0.01,17.8
3,-0.12,4.9